Entry 1:
Below is a relaxed structure of Tb3NdSm2Bi6, with properties calculated at the GGA-PBE level.

As for the volume: 395.4 Å³ per cell. Its formation enthalpy at 0 K is -0.906 eV per atom. The space group is C2/m. The value obtained for the size of the total moment is 0.0 μB per cell.

Unit cell a=4.5351 b=9.0664 c=10.1343 alpha=102.84 beta=102.93 gamma=90.00
Closest atoms and distances in Å follow each position.
Fractional coordinates of all 12 atoms:
1 Bi 0.3344 0.4146 0.6687  3 Tb 3.19, 3 Sm 3.22
2 Bi 0.9993 0.2548 0.9986  3 Tb 3.17-3.18, 1 Sm 3.22, 2 Nd 3.24
3 Bi 0.6686 0.0811 0.3372  3 Tb 3.18-3.19, 2 Sm 3.23, 1 Nd 3.24
4 Bi 0.3314 0.9189 0.6628  3 Tb 3.18-3.19, 2 Sm 3.23, 1 Nd 3.24
5 Bi 0.0007 0.7452 0.0014  3 Tb 3.17-3.18, 1 Sm 3.22, 2 Nd 3.24
6 Bi 0.6656 0.5854 0.3313  3 Tb 3.19, 3 Sm 3.22
7 Nd 0.5000 0.0000 0.0000  6 Bi 3.24
8 Sm 0.1669 0.3332 0.3339  6 Bi 3.22-3.23
9 Sm 0.8331 0.6668 0.6661  6 Bi 3.22-3.23
10 Tb 0.1662 0.8327 0.3325  6 Bi 3.18-3.19
11 Tb 0.5000 0.5000 0.0000  6 Bi 3.17-3.19
12 Tb 0.8338 0.1673 0.6675  6 Bi 3.18-3.19

***

Entry 2:
Below is a relaxed structure of Tl2InF, with properties calculated at the GGA-PBE level.

As for the volume: 100.3 Å³ per cell. The space group is P4/mmm. The value obtained for the size of the total moment is 0.0 μB per cell. As for the formation energy without anion corrections: -0.70 eV/atom.

Unit cell a=3.3550 b=3.3550 c=8.9064 alpha=90.00 beta=90.00 gamma=90.00
Closest atoms and distances in Å follow each position.
Fractional coordinates of all 4 atoms:
1 Tl 0.0000 0.0000 0.8103  4 F 2.91
2 Tl 0.0000 0.0000 0.1897  4 F 2.91
3 F 0.5000 0.5000 0.0000  8 Tl 2.91
4 In 0.5000 0.5000 0.5000  4 In 3.36, 8 Tl 3.64

***

Entry 3:
Below is a relaxed structure of LaCeNO, with properties calculated at the GGA-PBE level.

As for the volume: 67.2 Å³ per cell. The space group is P4/mmm. The value obtained for the size of the total moment is 0.6 μB per cell. As for the formation energy without anion corrections: -2.18 eV/atom.

Unit cell a=3.6023 b=3.6023 c=5.1766 alpha=90.00 beta=90.00 gamma=90.00
Closest atoms and distances in Å follow each position.
Fractional coordinates of all 4 atoms:
1 La 0.5000 0.5000 0.5000  4 O 2.55, 2 N 2.59
2 N 0.5000 0.5000 0.0000  4 Ce 2.55, 2 La 2.59
3 O 0.0000 0.0000 0.5000  4 La 2.55, 2 Ce 2.59
4 Ce 0.0000 0.0000 0.0000  4 N 2.55, 2 O 2.59

***

Entry 4:
Below is a relaxed structure of Pm3TeCCl, with properties calculated at the GGA-PBE level.

As for the volume: 339.1 Å³ per cell. The space group is P2_1/m. The value obtained for the size of the total moment is 1.9 μB per cell. As for the formation energy without anion corrections: -0.98 eV/atom.

Unit cell a=4.0072 b=8.3976 c=10.1385 alpha=96.25 beta=90.00 gamma=90.00
Closest atoms and distances in Å follow each position.
Fractional coordinates of all 12 atoms:
1 Pm 0.7500 0.8437 0.1342  2 C 2.66, 1 Cl 2.85
2 Pm 0.2500 0.6337 0.3741  1 C 2.40
3 Pm 0.2500 0.1563 0.8658  2 C 2.66, 1 Cl 2.85
4 Pm 0.2500 0.5837 0.8815  3 C 2.58-2.72
5 Pm 0.7500 0.3663 0.6259  1 C 2.40
6 Pm 0.7500 0.4163 0.1185  3 C 2.58-2.72
7 Cl 0.2500 0.1374 0.5837  3 Pm 2.78-2.85
8 Cl 0.7500 0.8626 0.4163  3 Pm 2.78-2.85
9 Te 0.7500 0.8549 0.8166  5 Pm 3.16-3.23
10 Te 0.2500 0.1451 0.1834  5 Pm 3.16-3.23
11 C 0.2500 0.6367 0.1372  4 Pm 2.40-2.66
12 C 0.7500 0.3633 0.8628  4 Pm 2.40-2.66